Here is Tl2AsAuSe4 after structural relaxation from Alexandria via LeMat-Bulk. Energies are from PBE.

The crystal system is monoclinic. The uncorrected formation energy is -0.187 eV/atom. For the size of the total moment, the calculation gives 0.00 μB/f.u.

Cell and atoms, written as CIF:
```
data_Tl2AsAuSe4
_cell_length_a 10.9043
_cell_length_b 8.3212
_cell_length_c 7.5866
_cell_angle_alpha 90.00
_cell_angle_beta 133.99
_cell_angle_gamma 90.00
_symmetry_space_group_name_H-M 'C 1 2 1'
_symmetry_Int_Tables_number 5
_symmetry_space_group_name_Hall 'C 2y'
loop_
_atom_site_label
_atom_site_type_symbol
_atom_site_fract_x
_atom_site_fract_y
_atom_site_fract_z
_atom_site_occupancy
Tl1 Tl 0.0000 0.0000 0.0000 1
Tl2 Tl 0.0000 0.2470 0.5000 1
As1 As 0.0000 0.7743 0.5000 1
Au1 Au 0.0000 0.6207 0.0000 1
Se1 Se 0.1466 0.6045 0.4327 1
Se2 Se 0.2163 0.9238 0.8544 1
```

=====

Here is Sr2ScUSe6 after structural relaxation from Alexandria via LeMat-Bulk. Energies are from PBE.

The crystal system is monoclinic. The uncorrected formation energy is -1.625 eV/atom. For the size of the total moment, the calculation gives 1.00 μB/f.u.

Cell and atoms, written as CIF:
```
data_Sr2ScUSe6
_cell_length_a 7.1150
_cell_length_b 7.6395
_cell_length_c 12.5383
_cell_angle_alpha 90.00
_cell_angle_beta 124.01
_cell_angle_gamma 90.00
_symmetry_space_group_name_H-M 'P 1 21/c 1'
_symmetry_Int_Tables_number 14
_symmetry_space_group_name_Hall '-P 2ybc'
loop_
_atom_site_label
_atom_site_type_symbol
_atom_site_fract_x
_atom_site_fract_y
_atom_site_fract_z
_atom_site_occupancy
Sr1 Sr 0.2171 0.0872 0.2473 1
Sc1 Sc 0.0000 0.0000 0.5000 1
U1 U 0.5000 0.0000 0.0000 1
Se1 Se 0.1331 0.1956 0.9462 1
Se2 Se 0.2569 0.6924 0.9457 1
Se3 Se 0.3534 0.0233 0.7471 1
```

=====

Here is Pu3CdSe6 after structural relaxation from Alexandria via LeMat-Bulk. Energies are from PBE.

The crystal system is orthorhombic. The uncorrected formation energy is -1.212 eV/atom. For the size of the total moment, the calculation gives 14.00 μB/f.u.

Cell and atoms, written as CIF:
```
data_Pu3CdSe6
_cell_length_a 11.1975
_cell_length_b 13.7963
_cell_length_c 6.9516
_cell_angle_alpha 90.00
_cell_angle_beta 90.00
_cell_angle_gamma 90.00
_symmetry_space_group_name_H-M 'C m c 21'
_symmetry_Int_Tables_number 36
_symmetry_space_group_name_Hall 'C 2c -2'
loop_
_atom_site_label
_atom_site_type_symbol
_atom_site_fract_x
_atom_site_fract_y
_atom_site_fract_z
_atom_site_occupancy
Pu1 Pu 0.0000 0.1003 0.0000 1
Pu2 Pu 0.1815 0.4003 0.0901 1
Cd1 Cd 0.0000 0.2985 0.6278 1
Se1 Se 0.0000 0.2749 0.2536 1
Se2 Se 0.0000 0.4732 0.8079 1
Se3 Se 0.1618 0.0336 0.2929 1
Se4 Se 0.1821 0.2268 0.8358 1
```

=====

Here is LiU4As3O20 after structural relaxation from Alexandria via LeMat-Bulk. Energies are from PBE.

The crystal system is tetragonal. The uncorrected formation energy is -2.314 eV/atom. For the size of the total moment, the calculation gives 0.00 μB/f.u.

Cell and atoms, written as CIF:
```
data_LiU4As3O20
_cell_length_a 7.3044
_cell_length_b 7.3044
_cell_length_c 34.4932
_cell_angle_alpha 90.00
_cell_angle_beta 90.00
_cell_angle_gamma 90.00
_symmetry_space_group_name_H-M 'I 41 m d'
_symmetry_Int_Tables_number 109
_symmetry_space_group_name_Hall 'I 4bw -2'
loop_
_atom_site_label
_atom_site_type_symbol
_atom_site_fract_x
_atom_site_fract_y
_atom_site_fract_z
_atom_site_occupancy
Li1 Li 0.0000 0.0000 0.0000 1
U1 U 0.0000 0.0000 0.1421 1
U2 U 0.0000 0.0000 0.2662 1
U3 U 0.0000 0.0000 0.5749 1
U4 U 0.0000 0.0000 0.6994 1
As1 As 0.0000 0.0000 0.3629 1
As2 As 0.0000 0.0000 0.4775 1
As3 As 0.0000 0.0000 0.9195 1
O1 O 0.0000 0.0000 0.0897 1
O2 O 0.0000 0.0000 0.1987 1
O3 O 0.0000 0.0000 0.6441 1
O4 O 0.0000 0.0000 0.7516 1
O5 O 0.0000 0.1791 0.5104 1
O6 O 0.0000 0.1842 0.9515 1
O7 O 0.0000 0.1928 0.3905 1
O8 O 0.0000 0.2484 0.2663 1
O9 O 0.0000 0.2555 0.8252 1
O10 O 0.0000 0.3059 0.1420 1
O11 O 0.0000 0.3062 0.7003 1
O12 O 0.0000 0.3244 0.5792 1
```

=====

Here is LaPr4Er6 after structural relaxation from Alexandria via LeMat-Bulk. Energies are from PBE.

The crystal system is hexagonal. The calculated formation energy is 146 meV per atom. For the size of the total moment, the calculation gives 0.00 μB/f.u.

Cell and atoms, written as CIF:
```
data_LaPr4Er6
_cell_length_a 11.0751
_cell_length_b 11.0751
_cell_length_c 3.5575
_cell_angle_alpha 90.00
_cell_angle_beta 90.00
_cell_angle_gamma 120.00
_symmetry_space_group_name_H-M 'P -6 m 2'
_symmetry_Int_Tables_number 187
_symmetry_space_group_name_Hall 'P -6 2'
loop_
_atom_site_label
_atom_site_type_symbol
_atom_site_fract_x
_atom_site_fract_y
_atom_site_fract_z
_atom_site_occupancy
La1 La 0.0000 0.0000 0.0000 1
Pr1 Pr 0.3333 0.6667 0.0000 1
Pr2 Pr 0.3961 0.1981 0.5000 1
Er1 Er 0.0085 0.5043 0.0000 1
Er2 Er 0.1719 0.3439 0.5000 1
```

=====

Here is HfVOs after structural relaxation from Alexandria via LeMat-Bulk. Energies are from PBE.

The crystal system is tetragonal. The calculated formation energy is -337 meV per atom. The energy above the lowest structure with this stoichiometry is 154 meV per atom. For the size of the total moment, the calculation gives 0.00 μB/f.u.

Cell and atoms, written as CIF:
```
data_HfVOs
_cell_length_a 3.1314
_cell_length_b 3.1314
_cell_length_c 9.8583
_cell_angle_alpha 90.00
_cell_angle_beta 90.00
_cell_angle_gamma 90.00
_symmetry_space_group_name_H-M 'I 4 m m'
_symmetry_Int_Tables_number 107
_symmetry_space_group_name_Hall 'I 4 -2'
loop_
_atom_site_label
_atom_site_type_symbol
_atom_site_fract_x
_atom_site_fract_y
_atom_site_fract_z
_atom_site_occupancy
Hf1 Hf 0.0000 0.0000 0.0000 1
V1 V 0.0000 0.0000 0.6791 1
Os1 Os 0.0000 0.0000 0.3242 1
```

=====

Here is InSnGe2 after structural relaxation from Alexandria via LeMat-Bulk. Energies are from PBE.

The crystal system is cubic. The calculated formation energy is 225 meV per atom. The energy above the lowest structure with this stoichiometry is 86 meV per atom. For the size of the total moment, the calculation gives 0.00 μB/f.u.

Cell and atoms, written as CIF:
```
data_InSnGe2
_cell_length_a 7.1641
_cell_length_b 7.1641
_cell_length_c 7.1641
_cell_angle_alpha 90.00
_cell_angle_beta 90.00
_cell_angle_gamma 90.00
_symmetry_space_group_name_H-M 'F m -3 m'
_symmetry_Int_Tables_number 225
_symmetry_space_group_name_Hall '-F 4 2 3'
loop_
_atom_site_label
_atom_site_type_symbol
_atom_site_fract_x
_atom_site_fract_y
_atom_site_fract_z
_atom_site_occupancy
In1 In 0.0000 0.0000 0.0000 1
Sn1 Sn 0.0000 0.0000 0.5000 1
Ge1 Ge 0.2500 0.2500 0.2500 1
```

=====

Here is Nd2SnAu3 after structural relaxation from Alexandria via LeMat-Bulk. Energies are from PBE.

The crystal system is orthorhombic. The calculated formation energy is -663 meV per atom. The energy above the lowest structure with this stoichiometry is 93 meV per atom. For the size of the total moment, the calculation gives 0.00 μB/f.u.

Cell and atoms, written as CIF:
```
data_Nd2SnAu3
_cell_length_a 3.8641
_cell_length_b 4.5101
_cell_length_c 17.8772
_cell_angle_alpha 90.00
_cell_angle_beta 90.00
_cell_angle_gamma 90.00
_symmetry_space_group_name_H-M 'I m m 2'
_symmetry_Int_Tables_number 44
_symmetry_space_group_name_Hall 'I 2 -2'
loop_
_atom_site_label
_atom_site_type_symbol
_atom_site_fract_x
_atom_site_fract_y
_atom_site_fract_z
_atom_site_occupancy
Nd1 Nd 0.0000 0.0000 0.0000 1
Nd2 Nd 0.0000 0.5000 0.2220 1
Sn1 Sn 0.0000 0.0000 0.4077 1
Au1 Au 0.0000 0.0000 0.5642 1
Au2 Au 0.0000 0.5000 0.6517 1
Au3 Au 0.0000 0.5000 0.8033 1
```

=====

Here is Sr3Zn2InAg6 after structural relaxation from Alexandria via LeMat-Bulk. Energies are from PBE.

The crystal system is trigonal. The calculated formation energy is -112 meV per atom. For the size of the total moment, the calculation gives 0.00 μB/f.u.

Cell and atoms, written as CIF:
```
data_Sr3Zn2InAg6
_cell_length_a 6.1397
_cell_length_b 6.1397
_cell_length_c 9.3136
_cell_angle_alpha 90.00
_cell_angle_beta 90.00
_cell_angle_gamma 120.00
_symmetry_space_group_name_H-M 'P -3 m 1'
_symmetry_Int_Tables_number 164
_symmetry_space_group_name_Hall '-P 3 2"'
loop_
_atom_site_label
_atom_site_type_symbol
_atom_site_fract_x
_atom_site_fract_y
_atom_site_fract_z
_atom_site_occupancy
Sr1 Sr 0.0000 0.0000 0.0000 1
Sr2 Sr 0.3333 0.6667 0.6111 1
Zn1 Zn 0.3333 0.6667 0.0188 1
In1 In 0.0000 0.0000 0.5000 1
Ag1 Ag 0.1792 0.3585 0.2684 1
```

=====

Here is LiSi2Ag after structural relaxation from Alexandria via LeMat-Bulk. Energies are from PBE.

The crystal system is cubic. The uncorrected formation energy is 0.178 eV/atom. The energy above the lowest structure with this stoichiometry is 129 meV per atom. For the size of the total moment, the calculation gives 0.00 μB/f.u.

Cell and atoms, written as CIF:
```
data_LiSi2Ag
_cell_length_a 6.3067
_cell_length_b 6.3067
_cell_length_c 6.3067
_cell_angle_alpha 90.00
_cell_angle_beta 90.00
_cell_angle_gamma 90.00
_symmetry_space_group_name_H-M 'F -4 3 m'
_symmetry_Int_Tables_number 216
_symmetry_space_group_name_Hall 'F -4 2 3'
loop_
_atom_site_label
_atom_site_type_symbol
_atom_site_fract_x
_atom_site_fract_y
_atom_site_fract_z
_atom_site_occupancy
Li1 Li 0.0000 0.0000 0.0000 1
Si1 Si 0.0000 0.0000 0.5000 1
Si2 Si 0.2500 0.2500 0.2500 1
Ag1 Ag 0.2500 0.2500 0.7500 1
```

=====

Here is VCo3H after structural relaxation from Alexandria via LeMat-Bulk. Energies are from PBE.

The crystal system is orthorhombic. The energy above the lowest structure with this stoichiometry is 308 meV per atom. For the size of the total moment, the calculation gives 1.70 μB/f.u.

Cell and atoms, written as CIF:
```
data_VCo3H
_cell_length_a 4.5739
_cell_length_b 6.4289
_cell_length_c 6.6973
_cell_angle_alpha 90.00
_cell_angle_beta 90.00
_cell_angle_gamma 90.00
_symmetry_space_group_name_H-M 'P n m a'
_symmetry_Int_Tables_number 62
_symmetry_space_group_name_Hall '-P 2ac 2n'
loop_
_atom_site_label
_atom_site_type_symbol
_atom_site_fract_x
_atom_site_fract_y
_atom_site_fract_z
_atom_site_occupancy
V1 V 0.0000 0.0000 0.0000 1
Co1 Co 0.0370 0.0797 0.3438 1
Co2 Co 0.2122 0.2500 0.7034 1
H1 H 0.1160 0.7500 0.4392 1
```

=====

Here is Pm2YTh after structural relaxation from Alexandria via LeMat-Bulk. Energies are from PBE.

The crystal system is tetragonal. The calculated formation energy is 38 meV per atom. The energy above the lowest structure with this stoichiometry is 16 meV per atom. For the size of the total moment, the calculation gives 0.00 μB/f.u.

Cell and atoms, written as CIF:
```
data_Pm2YTh
_cell_length_a 3.6156
_cell_length_b 3.6156
_cell_length_c 10.2265
_cell_angle_alpha 90.00
_cell_angle_beta 90.00
_cell_angle_gamma 90.00
_symmetry_space_group_name_H-M 'P 4/m m m'
_symmetry_Int_Tables_number 123
_symmetry_space_group_name_Hall '-P 4 2'
loop_
_atom_site_label
_atom_site_type_symbol
_atom_site_fract_x
_atom_site_fract_y
_atom_site_fract_z
_atom_site_occupancy
Pm1 Pm 0.0000 0.0000 0.2418 1
Y1 Y 0.5000 0.5000 0.5000 1
Th1 Th 0.5000 0.5000 0.0000 1
```